Entry 1:
# ScZnFeAs

A relaxed structure of ScZnFeAs (GGA-PBE, the Open Quantum Materials Database).

Calculated values
**Polymorph energy (0 for the lowest one)**: 0 meV per atom

Cell and atoms, written as CIF:
```
data_ScZnFeAs
_space_group_name_H-M_alt 'F -4 3 m'
_space_group_IT_number 216
_space_group_name_Hall 'F -4 2 3'
_cell_length_a 6.184
_cell_length_b 6.184
_cell_length_c 6.184
_cell_angle_alpha 90.00
_cell_angle_beta 90.00
_cell_angle_gamma 90.00
loop_
_atom_site_label
_atom_site_fract_x
_atom_site_fract_y
_atom_site_fract_z
_atom_site_occupancy
Sc1 0.000 0.000 0.000 1
Zn1 0.250 0.250 0.250 1
Fe1 0.000 0.000 0.500 1
As1 0.250 0.250 0.750 1
```


Entry 2:
# ScZnFeAs

A relaxed structure of ScZnFeAs (GGA-PBE, the Open Quantum Materials Database).

Calculated values
**Polymorph energy (0 for the lowest one)**: 152 meV per atom

Cell and atoms, written as CIF:
```
data_ScZnFeAs
_space_group_name_H-M_alt 'F -4 3 m'
_space_group_IT_number 216
_space_group_name_Hall 'F -4 2 3'
_cell_length_a 6.283
_cell_length_b 6.283
_cell_length_c 6.283
_cell_angle_alpha 90.00
_cell_angle_beta 90.00
_cell_angle_gamma 90.00
loop_
_atom_site_label
_atom_site_fract_x
_atom_site_fract_y
_atom_site_fract_z
_atom_site_occupancy
Sc1 0.000 0.000 0.000 1
Zn1 0.000 0.000 0.500 1
Fe1 0.250 0.250 0.750 1
As1 0.250 0.250 0.250 1
```


Entry 3:
# ZrScFeAs

A relaxed structure of ZrScFeAs (GGA-PBE, the Open Quantum Materials Database).

Calculated values
**Polymorph energy (0 for the lowest one)**: 0 meV per atom

Cell and atoms, written as CIF:
```
data_ZrScFeAs
_space_group_name_H-M_alt 'F -4 3 m'
_space_group_IT_number 216
_space_group_name_Hall 'F -4 2 3'
_cell_length_a 6.404
_cell_length_b 6.404
_cell_length_c 6.404
_cell_angle_alpha 90.00
_cell_angle_beta 90.00
_cell_angle_gamma 90.00
loop_
_atom_site_label
_atom_site_fract_x
_atom_site_fract_y
_atom_site_fract_z
_atom_site_occupancy
Zr1 0.000 0.000 0.000 1
Sc1 0.250 0.250 0.250 1
Fe1 0.250 0.250 0.750 1
As1 0.000 0.000 0.500 1
```


Entry 4:
# Fe3Si2As

A relaxed structure of Fe3Si2As (GGA-PBE, the Open Quantum Materials Database).

Cell and atoms, written as CIF:
```
data_Fe3Si2As
_space_group_name_H-M_alt 'P -4 m 2'
_space_group_IT_number 115
_cell_length_a 3.371
_cell_length_b 3.371
_cell_length_c 6.497
_cell_angle_alpha 90.00
_cell_angle_beta 90.00
_cell_angle_gamma 90.00
loop_
_space_group_symop_operation_xyz
'x,y,z'
'y,-x,-z'
'-x,-y,z'
'-y,x,-z'
'-x,y,z'
'-y,-x,-z'
'x,-y,z'
'y,x,-z'
loop_
_atom_site_label
_atom_site_fract_x
_atom_site_fract_y
_atom_site_fract_z
_atom_site_occupancy
Fe1 0.000 0.000 0.000 1
Fe2 0.000 0.500 0.642 1
Si1 0.000 0.500 0.295 1
As1 0.500 0.500 0.000 1
```


Entry 5:
# FeSi2As

A relaxed structure of FeSi2As (GGA-PBE, the Open Quantum Materials Database).

Cell and atoms, written as CIF:
```
data_FeSi2As
_space_group_name_H-M_alt 'F -4 3 m'
_space_group_IT_number 216
_space_group_name_Hall 'F -4 2 3'
_cell_length_a 6.036
_cell_length_b 6.036
_cell_length_c 6.036
_cell_angle_alpha 90.00
_cell_angle_beta 90.00
_cell_angle_gamma 90.00
loop_
_atom_site_label
_atom_site_fract_x
_atom_site_fract_y
_atom_site_fract_z
_atom_site_occupancy
Fe1 0.000 0.000 0.000 1
Si1 0.000 0.000 0.500 1
Si2 0.250 0.250 0.250 1
As1 0.250 0.250 0.750 1
```


Entry 6:
# SmFe2As2

A relaxed structure of SmFe2As2 (GGA-PBE, the Open Quantum Materials Database).

Cell and atoms, written as CIF:
```
data_SmFe2As2
_space_group_name_H-M_alt 'P -3 m 1'
_space_group_IT_number 164
_space_group_name_Hall '-P 3 2"'
_cell_length_a 3.9670
_cell_length_b 3.9670
_cell_length_c 6.7990
_cell_angle_alpha 90.00
_cell_angle_beta 90.00
_cell_angle_gamma 120.00
loop_
_atom_site_label
_atom_site_fract_x
_atom_site_fract_y
_atom_site_fract_z
_atom_site_occupancy
Sm1 0.0000 0.0000 0.0000 1
Fe1 0.3333 0.6667 0.3864 1
As1 0.3333 0.6667 0.7297 1
```


Entry 7:
# Fe2SnAs

A relaxed structure of Fe2SnAs (GGA-PBE, the Open Quantum Materials Database).

Cell and atoms, written as CIF:
```
data_Fe2SnAs
_space_group_name_H-M_alt 'P m -3 m'
_space_group_IT_number 221
_space_group_name_Hall '-P 4 2 3'
_cell_length_a 6.145
_cell_length_b 6.145
_cell_length_c 6.145
_cell_angle_alpha 90.00
_cell_angle_beta 90.00
_cell_angle_gamma 90.00
loop_
_atom_site_label
_atom_site_fract_x
_atom_site_fract_y
_atom_site_fract_z
_atom_site_occupancy
Fe1 0.231 0.231 0.231 1
Sn1 0.000 0.500 0.500 1
Sn2 0.500 0.500 0.500 1
As1 0.000 0.000 0.000 1
As2 0.000 0.000 0.500 1
```


Entry 8:
# FeSnAs

A relaxed structure of FeSnAs (GGA-PBE, the Open Quantum Materials Database).

Calculated values
**Polymorph energy (0 for the lowest one)**: 0 meV per atom

Cell and atoms, written as CIF:
```
data_FeSnAs
_space_group_name_H-M_alt 'F -4 3 m'
_space_group_IT_number 216
_space_group_name_Hall 'F -4 2 3'
_cell_length_a 6.003
_cell_length_b 6.003
_cell_length_c 6.003
_cell_angle_alpha 90.00
_cell_angle_beta 90.00
_cell_angle_gamma 90.00
loop_
_atom_site_label
_atom_site_fract_x
_atom_site_fract_y
_atom_site_fract_z
_atom_site_occupancy
Fe1 0.000 0.000 0.000 1
Sn1 0.250 0.250 0.250 1
As1 0.250 0.250 0.750 1
```


Entry 9:
# FeSnAs2

A relaxed structure of FeSnAs2 (GGA-PBE, the Open Quantum Materials Database).

Cell and atoms, written as CIF:
```
data_FeSnAs2
_space_group_name_H-M_alt 'F -4 3 m'
_space_group_IT_number 216
_space_group_name_Hall 'F -4 2 3'
_cell_length_a 6.716
_cell_length_b 6.716
_cell_length_c 6.716
_cell_angle_alpha 90.00
_cell_angle_beta 90.00
_cell_angle_gamma 90.00
loop_
_atom_site_label
_atom_site_fract_x
_atom_site_fract_y
_atom_site_fract_z
_atom_site_occupancy
Fe1 0.000 0.000 0.000 1
Sn1 0.250 0.250 0.750 1
As1 0.000 0.000 0.500 1
As2 0.250 0.250 0.250 1
```


Entry 10:
# Fe2SnAs

A relaxed structure of Fe2SnAs (GGA-PBE, the Open Quantum Materials Database).

Cell and atoms, written as CIF:
```
data_Fe2SnAs
_space_group_name_H-M_alt 'P m -3 m'
_space_group_IT_number 221
_space_group_name_Hall '-P 4 2 3'
_cell_length_a 6.145
_cell_length_b 6.145
_cell_length_c 6.145
_cell_angle_alpha 90.00
_cell_angle_beta 90.00
_cell_angle_gamma 90.00
loop_
_atom_site_label
_atom_site_fract_x
_atom_site_fract_y
_atom_site_fract_z
_atom_site_occupancy
Fe1 0.231 0.231 0.231 1
Sn1 0.000 0.500 0.500 1
Sn2 0.500 0.500 0.500 1
As1 0.000 0.000 0.000 1
As2 0.000 0.000 0.500 1
```


Entry 11:
# SrFe5As3

A relaxed structure of SrFe5As3 (GGA-PBE, the Open Quantum Materials Database).

Cell and atoms, written as CIF:
```
data_SrFe5As3
_space_group_name_H-M_alt 'C m c m'
_space_group_IT_number 63
_space_group_name_Hall '-C 2c 2'
_cell_length_a 3.801
_cell_length_b 12.354
_cell_length_c 11.867
_cell_angle_alpha 90.00
_cell_angle_beta 90.00
_cell_angle_gamma 90.00
loop_
_atom_site_label
_atom_site_fract_x
_atom_site_fract_y
_atom_site_fract_z
_atom_site_occupancy
Sr1 0.000 0.165 0.250 1
Fe1 0.000 0.000 0.000 1
Fe2 0.000 0.187 0.558 1
Fe3 0.000 0.446 0.143 1
As1 0.000 0.118 0.750 1
As2 0.000 0.378 0.551 1
```


Entry 12:
# TaFeAs2

A relaxed structure of TaFeAs2 (GGA-PBE, the Open Quantum Materials Database).

Cell and atoms, written as CIF:
```
data_TaFeAs2
_space_group_name_H-M_alt 'F -4 3 m'
_space_group_IT_number 216
_space_group_name_Hall 'F -4 2 3'
_cell_length_a 6.327
_cell_length_b 6.327
_cell_length_c 6.327
_cell_angle_alpha 90.00
_cell_angle_beta 90.00
_cell_angle_gamma 90.00
loop_
_atom_site_label
_atom_site_fract_x
_atom_site_fract_y
_atom_site_fract_z
_atom_site_occupancy
Ta1 0.000 0.000 0.000 1
Fe1 0.250 0.250 0.250 1
As1 0.000 0.000 0.500 1
As2 0.250 0.250 0.750 1
```


Magnetic moment values (in μB per atom) by entry order: 0.47, 0.47, 0.21, 0.47, 0.03, 0.86, 0.71, 0.17, 0.64, 0.71, 1.11, 0.54.
Energy values (in eV for the cell shown) by entry order: -85.224, -82.786, -112.138, -39.977, -88.380, -33.312, -97.432, -66.087, -78.282, -97.432, -239.400, -112.835.
Theoretical density values (in g/cm³) by entry order: 6.8, 6.5, 6.8, 6.7, 5.6, 7.4, 8.7, 7.7, 7.1, 8.7, 7.1, 10.1.